This record from Alexandria describes a geometry-optimized CsMnZnF6 structure. The functional is PBE with a Hubbard U.

Lattice parameters (Å, degrees): 7.473 7.473 7.473 121.53 117.00 91.32
Atoms (fractional coordinates):
Cs (0.372, 0.122, 0.250)
Cs (0.628, 0.878, 0.750)
Mn (0.000, 0.500, 0.500)
Mn (0.500, 0.500, 0.000)
Zn (0.000, 0.000, 0.500)
Zn (0.000, 0.500, 0.000)
F (0.065, 0.433, 0.258)
F (0.065, 0.808, 0.633)
F (0.075, 0.825, 0.250)
F (0.325, 0.192, 0.758)
F (0.325, 0.567, 0.133)
F (0.326, 0.576, 0.750)
F (0.674, 0.424, 0.250)
F (0.675, 0.433, 0.867)
F (0.675, 0.808, 0.242)
F (0.925, 0.175, 0.750)
F (0.935, 0.192, 0.367)
F (0.935, 0.567, 0.742)

Summary:
For the raw total energy, the calculation gives -87.6 eV for the cell shown.